The following is a DFT calculation (GGA-PBEsol) of FeGe2MoAu after structural relaxation.

Calculated values
- crystal system = tetragonal
- E_tot (eV per atom) = -5.139
- density of states at the Fermi level (states/eV/atom) = 1.340

a b c (Å): 4.7133 4.7133 5.1877
angles (deg): 90.00 90.00 90.00
Last column: nearest neighbours and their distance in Å.
Element x y z (fractional)
Fe: 0.0000 0.0000 0.0000  4 Mo 3.33, 8 Ge 3.50
Ge: 0.0000 0.5000 0.5000  2 Au 2.36
Ge: 0.5000 0.0000 0.5000  2 Au 2.36
Mo: 0.5000 0.5000 0.0000  2 Au 2.59
Au: 0.5000 0.5000 0.5000  4 Ge 2.36, 2 Mo 2.59

=====

The following is a DFT calculation (GGA-PBEsol) of Rb2TlBiF6 after structural relaxation.

Calculated values
- raw formation energy (kcal/mol of atoms) = -55.120
- crystal system = cubic
- E_tot (eV per atom) = -4.443
- density of states at the Fermi level (states/eV/atom) = 0.000

a b c (Å): 6.8313 6.8313 6.8313
angles (deg): 60.00 60.00 60.00
Last column: nearest neighbours and their distance in Å.
Element x y z (fractional)
Rb: 0.2500 0.2500 0.2500  12 F 3.42
Rb: 0.7500 0.7500 0.7500  12 F 3.42
Tl: 0.0000 0.0000 0.0000  6 F 2.58
Bi: 0.5000 0.5000 0.5000  6 F 2.25
F: 0.2675 0.2675 0.7325  1 Bi 2.25
F: 0.2675 0.7325 0.2675  1 Bi 2.25
F: 0.2675 0.7325 0.7325  1 Bi 2.25
F: 0.7325 0.2675 0.2675  1 Bi 2.25
F: 0.7325 0.2675 0.7325  1 Bi 2.25
F: 0.7325 0.7325 0.2675  1 Bi 2.25